No. 1
Entry from the Alexandria database: crystalline BaTc2PtO8 at its relaxed geometry (PBE-GGA).

Output
The total magnetic moment is 0.00 μB/cell.

Cell: 5.5423 5.5423 7.6706 Å, 90.00 90.00 120.00°
Last column: nearest neighbours and their distance in Å.
Space group P-3 (No. 147)
Symmetry-distinct sites (fractional):
1 Ba 0.0000 0.0000 0.0000  12 O 2.91-3.20
2 Tc 0.3333 0.6667 0.7521  4 O 1.77-1.80
3 Pt 0.0000 0.0000 0.5000  6 O 2.18
4 O 0.0676 0.3234 0.6868  1 Tc 1.80
5 O 0.3333 0.6667 0.9835  1 Tc 1.77

=====

No. 2
Entry from the Alexandria database: crystalline BaThPt2O8 at its relaxed geometry (PBE-GGA).

Output
The total magnetic moment is 0.00 μB/cell.

Cell: 6.0934 6.0934 7.7462 Å, 90.00 90.00 120.00°
Last column: nearest neighbours and their distance in Å.
Space group P-3 (No. 147)
Symmetry-distinct sites (fractional):
1 Ba 0.0000 0.0000 0.0000  6 O 2.85
2 Th 0.0000 0.0000 0.5000  6 O 2.28
3 Pt 0.3333 0.6667 0.7731  4 O 1.85-1.94
4 O 0.1558 0.3143 0.7012  1 Pt 1.94
5 O 0.3333 0.6667 0.0116  1 Pt 1.85

=====

No. 3
Entry from the Alexandria database: crystalline Ba2ThPt3O12 at its relaxed geometry (PBE-GGA).

Output
The total magnetic moment is 10.52 μB/cell.

Cell: 7.3359 7.3359 16.6014 Å, 90.00 90.00 120.00°
Last column: nearest neighbours and their distance in Å.
Space group R-3m (No. 166, hexagonal axes)
Symmetry-distinct sites (fractional):
1 Ba 0.0000 0.0000 0.1103  6 O 2.57-2.87
2 Th 0.0000 0.0000 0.5000  12 O 2.50-2.77
3 Pt 0.0000 0.5000 0.0000  6 O 1.96-2.01
4 O 0.0379 0.5189 0.8825  1 Pt 1.96
5 O 0.0715 0.5358 0.2999  2 Pt 2.01

=====

| no. | ΔE_f (raw) (eV per atom) |
| --- | --- |
| 1 | -1.37 |
| 2 | -1.17 |
| 3 | -1.46 |